DFT (PBE-GGA) results for an optimized crystal structure of HfTlV.

abc: 3.3660 7.5192 14.4383
angles: 104.06 90.00 90.00
Closest atoms and distances in Å follow each position.
Fractional positions:
Tl: 0.2500 0.7467 0.7703  4 V 2.93-3.01, 5 Hf 3.01-3.17
Tl: 0.2500 0.3122 0.6254  5 V 2.96-3.04, 5 Hf 3.04-3.12
Tl: 0.7500 0.2533 0.2297  4 V 2.93-3.01, 5 Hf 3.01-3.17
Tl: 0.7500 0.8051 0.1279  5 V 2.90-3.08, 5 Hf 3.02-3.23
Tl: 0.7500 0.6878 0.3746  5 V 2.96-3.04, 5 Hf 3.04-3.12
Tl: 0.2500 0.1949 0.8721  5 V 2.90-3.08, 5 Hf 3.02-3.23
Hf: 0.2500 0.3793 0.4205  2 V 2.94, 3 Hf 3.06-3.09, 5 Tl 3.07-3.17
Hf: 0.2500 0.6337 0.9561  4 V 2.84, 3 Tl 3.01-3.02, 2 Hf 3.12
Hf: 0.7500 0.6207 0.5795  2 V 2.94, 3 Hf 3.06-3.09, 5 Tl 3.07-3.17
Hf: 0.7500 0.0282 0.6898  2 V 2.82, 6 Tl 3.04-3.14, 1 Hf 3.09
Hf: 0.2500 0.9718 0.3102  2 V 2.82, 6 Tl 3.04-3.14, 1 Hf 3.09
Hf: 0.7500 0.3663 0.0439  4 V 2.84, 3 Tl 3.01-3.02, 2 Hf 3.12
V: 0.7500 0.0948 0.4699  2 V 2.49
V: 0.2500 0.9052 0.5301  2 V 2.49
V: 0.2500 0.0713 0.0605  2 V 2.48
V: 0.7500 0.4504 0.8039  2 Hf 2.84, 6 Tl 2.90-3.04
V: 0.2500 0.5496 0.1961  2 Hf 2.84, 6 Tl 2.90-3.04
V: 0.7500 0.9287 0.9395  2 V 2.48

Output
formation energy: 0.23 eV per atom
total DFT energy (no corrections): -0.254 Ha/atom